1.
Material: PaGe2S6
Method: DFT, PBE
State: relaxed

abc: 8.530 8.530 6.490
angles: 96.97 96.97 84.22
Fractional positions:
Pa 0.111 0.889 0.750
Pa 0.889 0.111 0.250
Ge 0.234 0.382 0.691
Ge 0.382 0.234 0.191
Ge 0.618 0.766 0.809
Ge 0.766 0.618 0.309
S 0.055 0.187 0.623
S 0.124 0.603 0.858
S 0.187 0.055 0.123
S 0.291 0.454 0.386
S 0.397 0.876 0.642
S 0.454 0.291 0.886
S 0.546 0.709 0.114
S 0.603 0.124 0.358
S 0.709 0.546 0.614
S 0.813 0.945 0.877
S 0.876 0.397 0.142
S 0.945 0.813 0.377

Calculated values
The space group is No. 15.



2.
Material: Pa4GeSe2S
Method: DFT, PBE
State: relaxed

abc: 6.811 4.096 7.149
angles: 90.00 110.16 90.00
Fractional positions:
Pa 0.232 0.000 0.233
Pa 0.240 0.500 0.758
Pa 0.760 0.500 0.242
Pa 0.768 0.000 0.767
Ge 0.500 0.000 0.000
Se 0.000 0.000 0.500
Se 0.500 0.500 0.500
S 0.000 0.500 0.000

Calculated values
The space group is No. 10.



3.
Material: PaTl2GeS6
Method: DFT, PBE
State: relaxed

abc: 7.280 7.280 7.280
angles: 57.06 57.06 57.06
Fractional positions:
Pa 0.000 0.000 0.000
Tl 0.289 0.289 0.289
Tl 0.797 0.797 0.797
Ge 0.500 0.500 0.500
S 0.107 0.741 0.389
S 0.228 0.638 0.861
S 0.389 0.107 0.741
S 0.638 0.861 0.228
S 0.741 0.389 0.107
S 0.861 0.228 0.638

Calculated values
The space group is No. 146.



4.
Material: PaTl3Ge2S6
Method: DFT, PBE
State: relaxed

abc: 6.951 6.951 7.720
angles: 98.56 98.56 119.94
Fractional positions:
Pa 0.000 0.000 0.000
Tl 0.169 0.831 0.500
Tl 0.500 0.500 0.500
Tl 0.831 0.169 0.500
Ge 0.332 0.668 0.000
Ge 0.668 0.332 0.000
S 0.063 0.387 0.191
S 0.257 0.257 0.804
S 0.387 0.063 0.191
S 0.613 0.937 0.809
S 0.743 0.743 0.196
S 0.937 0.613 0.809

Calculated values
The space group is No. 12.



ΔE_f (raw) (computed, eV/atom): -0.6494, -1.1406, -0.5403, -0.7136